{
  "formula": "Y2Hg3Pd",
  "functional": "GGA-PBE",
  "state": "relaxed",
  "total_energy_ev_per_atom": -3.694,
  "n_ef_per_ev_cell": 2.9,
  "total_magnetization_mub_per_fu": 0.00,
  "sg": "Pmm2, No. 25",
  "lattice_angstrom": [[3.452, 0.000, 0.000], [0.000, 4.814, 0.000], [0.000, 0.000, 8.461]],
  "species": ["Y", "Y", "Pd", "Hg", "Hg", "Hg"],
  "frac_coords": [[0.000, 0.000, 0.478], [0.000, 0.500, 0.032], [0.500, 0.500, 0.331], [0.500, 0.000, 0.833], [0.500, 0.500, 0.657], [0.500, 0.000, 0.169]]
}